*P*
LaMgSc | PBE | optimized geometry

It has space group Pnma (No. 62), with a = 6.6844 Å, b = 5.3951 Å, c = 9.5804 Å, α = 90.00°, β = 90.00° and γ = 90.00°. The distinct sites, in fractional coordinates, are La at (0.1890, 0.2500, 0.0753), Mg at (0.1882, 0.2500, 0.4083) and Sc at (0.0187, 0.2500, 0.7220).

For the total magnetization, the calculation gives 0.0 μB per cell. As for the mass density: 4.0 g/cm3.

---

*Q*
LaMgSc | PBE | optimized geometry

It has space group I4mm (No. 107), with a = 3.6358 Å, b = 3.6358 Å, c = 12.9277 Å, α = 90.00°, β = 90.00° and γ = 90.00°. The distinct sites, in fractional coordinates, are La at (0.0000, 0.0000, 0.0000), Mg at (0.0000, 0.0000, 0.6825) and Sc at (0.0000, 0.0000, 0.3218).

For the total magnetization, the calculation gives 0.6 μB per cell. As for the mass density: 4.0 g/cm3.

---

*R*
LaMgSc | PBE | optimized geometry

It has space group C2/m (No. 12), with a = 16.7160 Å, b = 3.6977 Å, c = 5.5589 Å, α = 90.00°, β = 90.13° and γ = 90.00°. The distinct sites, in fractional coordinates, are La at (0.0871, 0.0000, 0.2448), Mg at (0.0855, 0.5000, 0.7439) and Sc at (0.2356, 0.0000, 0.7488).

For the total magnetization, the calculation gives 0.0 μB per cell. As for the mass density: 4.0 g/cm3.

---

Which of them is most stable? Easy: *Q*.

---

*P*
LaMgSc | PBE | optimized geometry

It has space group P4/nmm (No. 129, origin choice 2), with a = 3.4412 Å, b = 3.4412 Å, c = 14.3785 Å, α = 90.00°, β = 90.00° and γ = 90.00°. The distinct sites, in fractional coordinates, are La at (0.2500, 0.2500, 0.2449), Mg at (0.2500, 0.2500, 0.9310) and Sc at (0.2500, 0.2500, 0.5755).

For the total magnetization, the calculation gives 0.0 μB per cell. As for the mass density: 4.1 g/cm3.

---

*Q*
LaMgSc | PBE | optimized geometry

It has space group F-43m (No. 216), with a = 7.3647 Å, b = 7.3647 Å, c = 7.3647 Å, α = 90.00°, β = 90.00° and γ = 90.00°. The distinct sites, in fractional coordinates, are La at (0.0000, 0.0000, 0.0000), Mg at (0.2500, 0.2500, 0.7500) and Sc at (0.0000, 0.0000, 0.5000).

For the total magnetization, the calculation gives 3.5 μB per cell. As for the mass density: 3.5 g/cm3.

---

*R*
LaMgSc | PBE | optimized geometry

It has space group P1 (No. 1), with a = 5.4828 Å, b = 6.2461 Å, c = 6.3718 Å, α = 63.42°, β = 64.59° and γ = 63.98°. The distinct sites, in fractional coordinates, are La at (0.0000, 0.0000, 0.0000), La at (0.2905, 0.3645, 0.0546), Mg at (0.6443, 0.1826, 0.5270), Mg at (0.6455, 0.6826, 0.0268), Sc at (0.3390, 0.8251, 0.4933) and Sc at (0.9483, 0.5391, 0.5613).

For the total magnetization, the calculation gives 0.0 μB per cell. As for the mass density: 4.1 g/cm3.

---

Which of them is most stable? Easy: *P*.